Density functional theory data (PBE) for crystalline Pr2TlHg2 at its relaxed geometry.

For the total energy, the calculation gives -2.800 eV/atom. The total magnetization comes out at 0.00 μB per formula unit. The density of states at the Fermi level comes out at 0.48 states/eV per atom.

The space group is P-3m1 (No. 164) and the conventional cell measures 5.2683, 5.2683 and 6.7471 Å, with angles of 90.00, 90.00 and 120.00 degrees. The distinct sites, in fractional coordinates, are Pr at (0.3333, 0.6667, 0.2021), Tl at (0.0000, 0.0000, 0.0000) and Hg at (0.3333, 0.6667, 0.6750).